P.
# TlSe2

TlSe2 after structural relaxation (PBE, Alexandria via LeMat-Bulk).

Computed properties:
Total magnetic moment: 0.0 μB/cell

Lattice parameters (Å, degrees): 7.2638 7.2638 7.2638 90.00 90.00 90.00
Last column: nearest neighbours and their distance in Å.
Space group Pa-3 (No. 205)
Symmetry-distinct sites (fractional):
Tl (0.0000, 0.0000, 0.0000) x4  6 Se 3.11
Se (0.0926, 0.5926, 0.9074) x8  1 Se 2.33

***

Q.
# TlSe2

TlSe2 after structural relaxation (PBE, Alexandria via LeMat-Bulk).

Computed properties:
Total magnetic moment: 0.0 μB/cell

Lattice parameters (Å, degrees): 5.6730 7.1611 4.8516 90.00 90.00 90.00
Last column: nearest neighbours and their distance in Å.
Space group Pnnm (No. 58)
Symmetry-distinct sites (fractional):
Tl (0.0000, 0.0000, 0.0000) x2  6 Se 3.08-3.13
Se (0.1701, 0.4088, 0.0000) x4  1 Se 2.33

***

Of them, the most stable is P and the least stable is Q.

***

P.
# TlSe2

TlSe2 after structural relaxation (PBE, Alexandria via LeMat-Bulk).

Computed properties:
Total magnetic moment: 0.0 μB/cell

Lattice parameters (Å, degrees): 4.8851 12.1030 6.0303 90.00 90.00 90.00
Last column: nearest neighbours and their distance in Å.
Space group Cmcm (No. 63)
Symmetry-distinct sites (fractional):
Tl (0.0000, 0.1861, 0.2500) x4  6 Se 3.23-3.57
Se (0.0000, 0.0903, 0.7500) x4  2 Se 2.59
Se (0.0000, 0.4813, 0.2500) x4  2 Se 2.59

***

Q.
# TlSe2

TlSe2 after structural relaxation (PBE, Alexandria via LeMat-Bulk).

Computed properties:
Total magnetic moment: 0.0 μB/cell

Lattice parameters (Å, degrees): 9.4178 4.1563 9.5781 90.00 95.83 90.00
Last column: nearest neighbours and their distance in Å.
Space group C2/m (No. 12)
Symmetry-distinct sites (fractional):
Tl (0.1571, 0.0000, 0.1311) x4  4 Se 3.09-3.21
Se (0.0141, 0.5000, 0.3109) x4  1 Se 2.37
Se (0.2357, 0.0000, 0.6254) x4  1 Se 2.37

***

R.
# TlSe2

TlSe2 after structural relaxation (PBE, Alexandria via LeMat-Bulk).

Computed properties:
Total magnetic moment: 0.0 μB/cell

Lattice parameters (Å, degrees): 3.5314 5.3339 10.2009 90.00 90.00 90.00
Last column: nearest neighbours and their distance in Å.
Space group Immm (No. 71)
Symmetry-distinct sites (fractional):
Tl (0.0000, 0.0000, 0.0000) x2  8 Se 3.40, 2 Tl 3.53
Se (0.0000, 0.0000, 0.3872) x4  1 Se 2.30

***

Of them, the most stable is P and the least stable is Q.

***

P.
# Tl4Se

Tl4Se after structural relaxation (PBE, Alexandria via LeMat-Bulk).

Computed properties:
Total magnetic moment: 0.0 μB/cell

Lattice parameters (Å, degrees): 7.2610 7.2610 7.2610 90.00 90.00 90.00
Last column: nearest neighbours and their distance in Å.
Space group Im-3m (No. 229)
Symmetry-distinct sites (fractional):
Tl (0.2500, 0.2500, 0.2500) x8  2 Se 3.14
Se (0.0000, 0.0000, 0.0000) x2  8 Tl 3.14

***

Q.
# Tl4Se

Tl4Se after structural relaxation (PBE, Alexandria via LeMat-Bulk).

Computed properties:
Total magnetic moment: 0.0 μB/cell

Lattice parameters (Å, degrees): 4.2930 4.2930 18.1793 90.00 90.00 90.00
Last column: nearest neighbours and their distance in Å.
Space group I4/mmm (No. 139)
Symmetry-distinct sites (fractional):
Tl (0.0000, 0.0000, 0.0844) x4  1 Tl 3.07, 4 Se 3.40
Tl (0.0000, 0.5000, 0.2500) x4  4 Tl 3.04
Se (0.0000, 0.0000, 0.5000) x2  8 Tl 3.40

***

Of them, the most stable is P and the least stable is Q.

***

P.
# Tl4Se

Tl4Se after structural relaxation (PBE, Alexandria via LeMat-Bulk).

Computed properties:
Total magnetic moment: 0.0 μB/cell

Lattice parameters (Å, degrees): 5.9350 5.9350 5.9350 90.00 90.00 90.00
Last column: nearest neighbours and their distance in Å.
Space group Pm-3m (No. 221)
Symmetry-distinct sites (fractional):
Tl (0.0000, 0.0000, 0.0000) x1  12 Tl 4.20
Tl (0.0000, 0.5000, 0.5000) x3  2 Se 2.97
Se (0.5000, 0.5000, 0.5000) x1  6 Tl 2.97

***

Q.
# Tl4Se

Tl4Se after structural relaxation (PBE, Alexandria via LeMat-Bulk).

Computed properties:
Total magnetic moment: 0.0 μB/cell

Lattice parameters (Å, degrees): 6.7878 3.9185 13.0398 90.00 90.09 90.00
Last column: nearest neighbours and their distance in Å.
Space group C2/m (No. 12)
Symmetry-distinct sites (fractional):
Tl (0.1663, 0.0000, 0.3520) x4  3 Se 2.97, 1 Tl 3.27
Tl (0.1670, 0.0000, 0.1011) x4  4 Tl 3.27-3.48
Se (0.0000, 0.5000, 0.5000) x2  6 Tl 2.97

***

R.
# Tl4Se

Tl4Se after structural relaxation (PBE, Alexandria via LeMat-Bulk).

Computed properties:
Total magnetic moment: 0.0 μB/cell

Lattice parameters (Å, degrees): 8.5688 8.5688 4.1333 90.00 90.00 90.00
Last column: nearest neighbours and their distance in Å.
Space group I4/m (No. 87)
Symmetry-distinct sites (fractional):
Tl (0.0861, 0.2746, 0.0000) x8  2 Se 3.22, 8 Tl 3.49-3.58
Se (0.0000, 0.0000, 0.5000) x2  8 Tl 3.22

***

Of them, the most stable is R and the least stable is P.

***

P.
# Tl3Se5

Tl3Se5 after structural relaxation (PBE, Alexandria via LeMat-Bulk).

Computed properties:
Total magnetic moment: 0.0 μB/cell

Lattice parameters (Å, degrees): 9.0808 9.0808 6.0767 90.00 90.00 120.00
Last column: nearest neighbours and their distance in Å.
Space group P6_3/mcm (No. 193)
Symmetry-distinct sites (fractional):
Tl (0.0000, 0.2949, 0.2500) x6  5 Se 3.06-3.11
Se (0.0000, 0.3670, 0.7500) x6  5 Tl 3.06-3.11, 4 Se 3.26
Se (0.3333, 0.6667, 0.0000) x4  8 Se 3.04-3.26

***

Q.
# Tl3Se5

Tl3Se5 after structural relaxation (PBE, Alexandria via LeMat-Bulk).

Computed properties:
Total magnetic moment: 0.0 μB/cell

Lattice parameters (Å, degrees): 9.1201 8.3982 12.9133 90.00 110.47 90.00
Last column: nearest neighbours and their distance in Å.
Space group Cc (No. 9)
Symmetry-distinct sites (fractional):
Tl (0.0000, 0.0671, 0.0000) x4  6 Se 3.18-3.45
Tl (0.1449, 0.3171, 0.7898) x4  6 Se 3.18-3.44
Tl (0.3643, 0.1250, 0.6449) x4  5 Se 3.17-3.41
Se (0.0316, 0.0438, 0.2672) x4  1 Se 2.42
Se (0.1274, 0.4117, 0.4853) x4  2 Se 2.42-2.64
Se (0.2114, 0.3748, 0.1450) x4  2 Se 2.63-2.64
Se (0.2869, 0.1619, 0.3043) x4  2 Se 2.42-2.63
Se (0.4093, 0.2062, 0.0226) x4  1 Se 2.42

***

Of them, the most stable is Q and the least stable is P.

***

P.
# Tl4Se3

Tl4Se3 after structural relaxation (PBE, Alexandria via LeMat-Bulk).

Computed properties:
Total magnetic moment: 0.0 μB/cell

Lattice parameters (Å, degrees): 8.2666 13.4876 4.1871 90.00 90.00 90.00
Last column: nearest neighbours and their distance in Å.
Space group Cmmm (No. 65)
Symmetry-distinct sites (fractional):
Tl (0.0000, 0.2193, 0.0000) x4  5 Se 2.96-2.97
Tl (0.2283, 0.5000, 0.5000) x4  4 Se 3.07-3.38
Se (0.0000, 0.0000, 0.0000) x2  6 Tl 2.96-3.07
Se (0.2500, 0.2500, 0.5000) x4  4 Tl 2.97

***

Q.
# Tl4Se3

Tl4Se3 after structural relaxation (PBE, Alexandria via LeMat-Bulk).

Computed properties:
Total magnetic moment: 0.0 μB/cell

Lattice parameters (Å, degrees): 4.1479 4.1479 26.9104 90.00 90.00 90.00
Last column: nearest neighbours and their distance in Å.
Space group I4/mmm (No. 139)
Symmetry-distinct sites (fractional):
Tl (0.0000, 0.0000, 0.0600) x4  1 Tl 3.23, 5 Se 3.35-3.41
Tl (0.0000, 0.0000, 0.3003) x4  5 Se 2.95-3.06
Se (0.0000, 0.0000, 0.1866) x4  5 Tl 2.95-3.06
Se (0.0000, 0.0000, 0.5000) x2  8 Tl 3.35

***

R.
# Tl4Se3

Tl4Se3 after structural relaxation (PBE, Alexandria via LeMat-Bulk).

Computed properties:
Total magnetic moment: 0.0 μB/cell

Lattice parameters (Å, degrees): 15.3358 4.5104 7.8217 90.00 115.98 90.00
Last column: nearest neighbours and their distance in Å.
Space group C2/m (No. 12)
Symmetry-distinct sites (fractional):
Tl (0.1255, 0.0000, 0.4007) x4  4 Se 2.87-3.12
Tl (0.1550, 0.5000, 0.0294) x4  5 Se 3.17-3.45
Se (0.0000, 0.0000, 0.0000) x2  6 Tl 2.87-3.21
Se (0.1849, 0.5000, 0.6533) x4  4 Tl 2.87-3.17

***

Of them, the most stable is P and the least stable is Q.

***

P.
# Tl5Se4

Tl5Se4 after structural relaxation (PBE, Alexandria via LeMat-Bulk).

Computed properties:
Total magnetic moment: 0.0 μB/cell

Lattice parameters (Å, degrees): 12.3966 12.3966 4.2278 90.00 90.00 90.00
Last column: nearest neighbours and their distance in Å.
Space group I4/m (No. 87)
Symmetry-distinct sites (fractional):
Tl (0.0000, 0.0000, 0.0000) x2  4 Se 2.81
Tl (0.1074, 0.7517, 0.5000) x8  5 Se 3.06-3.22
Se (0.0848, 0.2106, 0.0000) x8  2 Tl 2.81-3.06

***

Q.
# Tl5Se4

Tl5Se4 after structural relaxation (PBE, Alexandria via LeMat-Bulk).

Computed properties:
Total magnetic moment: 0.0 μB/cell

Lattice parameters (Å, degrees): 8.5908 8.5908 8.4581 90.00 90.00 120.00
Last column: nearest neighbours and their distance in Å.
Space group P6_3/mcm (No. 193)
Symmetry-distinct sites (fractional):
Tl (0.0000, 0.2515, 0.2500) x6  5 Se 2.90-3.08
Tl (0.3333, 0.6667, 0.0000) x4  6 Se 3.35
Se (0.0000, 0.0000, 0.0000) x2  6 Tl 3.02
Se (0.0000, 0.4110, 0.7500) x6  3 Tl 2.90-3.08

***

R.
# Tl5Se4

Tl5Se4 after structural relaxation (PBE, Alexandria via LeMat-Bulk).

Computed properties:
Total magnetic moment: 0.0 μB/cell

Lattice parameters (Å, degrees): 4.3269 7.6123 9.3697 112.08 90.08 106.32
Last column: nearest neighbours and their distance in Å.
Space group P-1 (No. 2)
Symmetry-distinct sites (fractional):
Tl (0.0000, 0.0000, 0.0000) x1  6 Se 2.82-3.00
Tl (0.3276, 0.6490, 0.2112) x2  5 Se 3.03-3.20
Tl (0.3500, 0.7038, 0.5884) x2  3 Se 2.94-2.98
Se (0.0016, 0.9994, 0.3012) x2  3 Tl 2.82-2.95
Se (0.3442, 0.6918, 0.9026) x2  6 Tl 2.98-3.16

***

Of them, the most stable is R and the least stable is P.

***

P.
# Tm4TlSe2

Tm4TlSe2 after structural relaxation (PBE, Alexandria via LeMat-Bulk).

Computed properties:
Total magnetic moment: 0.0 μB/cell

Lattice parameters (Å, degrees): 9.6889 9.6889 7.7014 90.00 90.00 90.00
Last column: nearest neighbours and their distance in Å.
Space group I-42d (No. 122)
Symmetry-distinct sites (fractional):
Tm (0.0404, 0.1933, 0.3427) x16  3 Se 2.82-2.94, 1 Tl 3.08
Tl (0.0000, 0.0000, 0.0000) x4  8 Tm 3.08-3.26
Se (0.2163, 0.2500, 0.6250) x8  6 Tm 2.82-2.94

***

Q.
# Tm4TlSe2

Tm4TlSe2 after structural relaxation (PBE, Alexandria via LeMat-Bulk).

Computed properties:
Total magnetic moment: 1.3 μB/cell

Lattice parameters (Å, degrees): 3.8287 3.8287 43.3023 90.00 90.00 120.00
Last column: nearest neighbours and their distance in Å.
Space group R-3m (No. 166, hexagonal axes)
Symmetry-distinct sites (fractional):
Tm (0.0000, 0.0000, 0.1354) x6  3 Se 2.89
Tm (0.0000, 0.0000, 0.2809) x6  3 Se 2.81
Tl (0.0000, 0.0000, 0.0000) x3  6 Tm 3.17
Se (0.0000, 0.0000, 0.4258) x6  6 Tm 2.81-2.89

***

Of them, the most stable is Q and the least stable is P.

***

P.
# Tm3TlSe

Tm3TlSe after structural relaxation (PBE, Alexandria via LeMat-Bulk).

Computed properties:
Total magnetic moment: 0.0 μB/cell

Lattice parameters (Å, degrees): 9.2775 3.8856 14.7933 90.00 90.00 90.00
Last column: nearest neighbours and their distance in Å.
Space group Pnma (No. 62)
Symmetry-distinct sites (fractional):
Tm (0.0397, 0.2500, 0.1162) x4  3 Se 2.80-2.83
Tm (0.1624, 0.2500, 0.5220) x4  2 Se 2.80
Tm (0.2239, 0.7500, 0.2703) x4  1 Se 2.77
Tl (0.0351, 0.7500, 0.6717) x4  8 Tm 3.17-3.40
Se (0.1605, 0.2500, 0.9430) x4  6 Tm 2.77-2.83

***

Q.
# Tm3TlSe

Tm3TlSe after structural relaxation (PBE, Alexandria via LeMat-Bulk).

Computed properties:
Total magnetic moment: 0.0 μB/cell

Lattice parameters (Å, degrees): 9.0878 6.5417 10.1822 90.00 113.37 90.00
Last column: nearest neighbours and their distance in Å.
Space group P2_1/c (No. 14)
Symmetry-distinct sites (fractional):
Tm (0.0594, 0.0918, 0.3314) x4  3 Se 2.75-2.77
Tm (0.2112, 0.5823, 0.5366) x4  2 Se 2.73-2.79
Tm (0.3894, 0.1396, 0.8090) x4  1 Se 2.80
Tl (0.3785, 0.6653, 0.8709) x4  7 Tm 3.15-3.50, 1 Tl 3.44
Se (0.0880, 0.2301, 0.5956) x4  6 Tm 2.73-2.80

***

Of them, the most stable is P and the least stable is Q.